Run i
Li2HoPd3: relaxed, GGA-PBE.

Cell and atoms, written as POSCAR:
```
Li2HoPd3
1.0
-3.0866 -3.0147 1.2277
2.3240 -0.5862 -3.7918
3.9301 -2.8626 2.8513
Pd Li Ho
3 2 1
Cartesian
1.3365 -1.9901 -1.5266 Pd
1.8310 -4.4734 1.8138 Pd
1.9650 -1.4313 1.4256 Pd
0.0379 -3.1674 0.5129 Li
3.1296 -3.2961 -0.2258 Li
0.0000 0.0000 0.0000 Ho
```

Output
As for the total magnetization: 0.0 μB per formula unit. Its crystal system is trigonal.

Run ii
Li2HoPd3: relaxed, GGA-PBE.

Cell and atoms, written as POSCAR:
```
Li2HoPd3
1.0
4.3804 0.0018 0.0182
2.1930 6.5651 0.0091
-0.0283 0.0000 6.7738
Pd Li Ho
6 4 2
Cartesian
2.1714 4.4051 4.9417 Pd
4.3632 6.5660 4.8758 Pd
4.3736 2.1619 1.8594 Pd
2.1842 4.4051 1.8503 Pd
4.3608 2.1619 4.9507 Pd
2.1819 0.0009 1.9253 Pd
2.1764 2.2418 3.3960 Li
4.3686 4.3251 3.4051 Li
0.0000 0.0000 0.0000 Li
-0.0141 0.0000 3.3869 Li
2.1894 2.0156 0.0091 Ho
4.3840 4.5514 0.0182 Ho
```

Output
As for the total magnetization: 0.0 μB per formula unit. Its crystal system is monoclinic.

Which structure loses on stability? run i does.

Run i
Li2HoPd8: relaxed, GGA-PBE.

Cell and atoms, written as POSCAR:
```
Li2HoPd8
1.0
-1.5213 -2.0497 3.1177
-0.5657 -5.1539 -3.6643
7.1971 0.7765 1.4187
Pd Ho Li
8 1 2
Cartesian
1.7367 -1.1150 0.1144 Pd
4.0138 -0.5832 1.5752 Pd
0.2113 -3.4859 0.4152 Pd
4.9060 -2.6743 3.2396 Pd
0.2041 -3.7527 -2.3675 Pd
3.3735 -5.3120 0.7577 Pd
4.8988 -2.9411 0.4569 Pd
1.0963 -5.8438 -0.7032 Pd
-0.7607 -1.0248 1.5588 Ho
2.5449 -2.9775 1.8881 Li
2.5653 -3.4495 -1.0160 Li
```

Output
As for the total magnetization: 0.0 μB per formula unit. Its crystal system is monoclinic.

Run ii
Li2HoPd8: relaxed, GGA-PBE.

Cell and atoms, written as POSCAR:
```
Li2HoPd8
1.0
-1.3645 1.8310 3.4189
-5.4348 2.2644 -3.3817
0.2501 -7.2907 1.5323
Pd Li Ho
8 2 1
Cartesian
-0.9728 -4.0340 1.7722 Pd
-3.2561 -0.1281 1.2411 Pd
-3.2930 -3.0672 0.3285 Pd
-5.5700 -1.5654 1.0874 Pd
-0.9791 -1.6299 0.4821 Pd
-5.5764 0.8386 -0.2026 Pd
-3.7847 1.5769 -2.3549 Pd
-2.7644 -4.7722 3.9245 Pd
-2.5850 -2.2521 2.6465 Li
-3.9641 -0.9432 -1.0769 Li
-0.6822 0.9155 1.7095 Ho
```

Output
As for the total magnetization: 0.0 μB per formula unit. Its crystal system is orthorhombic.

Which structure loses on stability? run ii does.